Crystalline In2PCl at its relaxed geometry, computed with GGA-PBE.

Summary:
Its uncorrected formation energy is -309 meV per atom. For the uncorrected energy, the calculation gives -3.49 eV/atom. For the density of states at the Fermi level, the calculation gives 0.5 states/eV/f.u. The value obtained for the excess energy over the best structure of this formula in the dataset is 0 meV/atom. Its crystal system is monoclinic.

```
data_In2PCl
_cell_length_a 7.1939
_cell_length_b 4.2005
_cell_length_c 7.1630
_cell_angle_alpha 90.00
_cell_angle_beta 98.47
_cell_angle_gamma 90.00
_symmetry_space_group_name_H-M 'C 1 2/m 1'
_symmetry_Int_Tables_number 12
loop_
_symmetry_equiv_pos_as_xyz
'x,y,z'
'-x,-y,-z'
'-x,y,-z'
'x,-y,z'
'x+1/2,y+1/2,z'
'-x+1/2,-y+1/2,-z'
'-x+1/2,y+1/2,-z'
'x+1/2,-y+1/2,z'
loop_
_atom_site_label
_atom_site_fract_x
_atom_site_fract_y
_atom_site_fract_z
_atom_site_occupancy
In1 0.1947 0.0000 0.1948 1
P1 0.0000 0.5000 0.0000 1
Cl1 0.0000 0.0000 0.5000 1
```


Crystalline In2PCl at its relaxed geometry, computed with GGA-PBE.

Summary:
Its uncorrected formation energy is -132 meV per atom. For the uncorrected energy, the calculation gives -3.32 eV/atom. For the density of states at the Fermi level, the calculation gives 0.9 states/eV/f.u. The value obtained for the excess energy over the best structure of this formula in the dataset is 177 meV/atom. Its crystal system is cubic.

```
data_In2PCl
_cell_length_a 7.1052
_cell_length_b 7.1052
_cell_length_c 7.1052
_cell_angle_alpha 90.00
_cell_angle_beta 90.00
_cell_angle_gamma 90.00
_symmetry_space_group_name_H-M 'F m -3 m'
_symmetry_Int_Tables_number 225
_symmetry_space_group_name_Hall '-F 4 2 3'
loop_
_atom_site_label
_atom_site_fract_x
_atom_site_fract_y
_atom_site_fract_z
_atom_site_occupancy
In1 0.2500 0.2500 0.2500 1
P1 0.0000 0.0000 0.0000 1
Cl1 0.0000 0.0000 0.5000 1
```


Crystalline InPCl2 at its relaxed geometry, computed with GGA-PBE.

Summary:
Its uncorrected formation energy is 10 meV per atom. For the uncorrected energy, the calculation gives -2.95 eV/atom. For the density of states at the Fermi level, the calculation gives 1.3 states/eV/f.u. The value obtained for the excess energy over the best structure of this formula in the dataset is 445 meV/atom. Its crystal system is monoclinic.

```
data_InPCl2
_cell_length_a 6.1677
_cell_length_b 8.6353
_cell_length_c 4.6127
_cell_angle_alpha 90.00
_cell_angle_beta 131.59
_cell_angle_gamma 90.00
_symmetry_space_group_name_H-M 'C 1 2/m 1'
_symmetry_Int_Tables_number 12
loop_
_symmetry_equiv_pos_as_xyz
'x,y,z'
'-x,-y,-z'
'-x,y,-z'
'x,-y,z'
'x+1/2,y+1/2,z'
'-x+1/2,-y+1/2,-z'
'-x+1/2,y+1/2,-z'
'x+1/2,-y+1/2,z'
loop_
_atom_site_label
_atom_site_fract_x
_atom_site_fract_y
_atom_site_fract_z
_atom_site_occupancy
In1 0.0000 0.0000 0.0000 1
P1 0.0000 0.5000 0.0000 1
Cl1 0.2500 0.2500 0.5000 1
```


Crystalline InPCl2 at its relaxed geometry, computed with GGA-PBE.

Summary:
Its uncorrected formation energy is -86 meV per atom. For the uncorrected energy, the calculation gives -3.05 eV/atom. The value obtained for the excess energy over the best structure of this formula in the dataset is 349 meV/atom. Its crystal system is orthorhombic.

```
data_InPCl2
_cell_length_a 3.6212
_cell_length_b 8.5190
_cell_length_c 8.8624
_cell_angle_alpha 90.00
_cell_angle_beta 90.00
_cell_angle_gamma 90.00
_symmetry_space_group_name_H-M 'C m m 2'
_symmetry_Int_Tables_number 35
loop_
_symmetry_equiv_pos_as_xyz
'x,y,z'
'-x,-y,z'
'-x,y,z'
'x,-y,z'
'x+1/2,y+1/2,z'
'-x+1/2,-y+1/2,z'
'-x+1/2,y+1/2,z'
'x+1/2,-y+1/2,z'
loop_
_atom_site_label
_atom_site_fract_x
_atom_site_fract_y
_atom_site_fract_z
_atom_site_occupancy
In1 0.0000 0.0000 0.0000 1
P1 0.0000 0.5000 0.2189 1
Cl1 0.0000 0.0000 0.3888 1
Cl2 0.0000 0.5000 0.7895 1
```


Crystalline In2P2Cl at its relaxed geometry, computed with GGA-PBE.

Summary:
Its uncorrected formation energy is 90 meV per atom. For the uncorrected energy, the calculation gives -3.54 eV/atom. For the density of states at the Fermi level, the calculation gives 6.0 states/eV/f.u. The value obtained for the excess energy over the best structure of this formula in the dataset is 201 meV/atom. Its crystal system is tetragonal.

```
data_In2P2Cl
_cell_length_a 7.9670
_cell_length_b 7.9670
_cell_length_c 3.6752
_cell_angle_alpha 90.00
_cell_angle_beta 90.00
_cell_angle_gamma 90.00
_symmetry_space_group_name_H-M 'P 4/m b m'
_symmetry_Int_Tables_number 127
_symmetry_space_group_name_Hall '-P 4 2ab'
loop_
_atom_site_label
_atom_site_fract_x
_atom_site_fract_y
_atom_site_fract_z
_atom_site_occupancy
In1 0.1907 0.3093 0.0000 1
P1 0.0965 0.5965 0.5000 1
Cl1 0.0000 0.0000 0.0000 1
```


Crystalline InPCl2 at its relaxed geometry, computed with GGA-PBE.

Summary:
Its uncorrected formation energy is -435 meV per atom. For the uncorrected energy, the calculation gives -3.40 eV/atom. For the density of states at the Fermi level, the calculation gives 1.3 states/eV/f.u. The value obtained for the excess energy over the best structure of this formula in the dataset is 0 meV/atom. Its crystal system is tetragonal.

```
data_InPCl2
_cell_length_a 3.8230
_cell_length_b 3.8230
_cell_length_c 7.8895
_cell_angle_alpha 90.00
_cell_angle_beta 90.00
_cell_angle_gamma 90.00
_symmetry_space_group_name_H-M 'P 4 m m'
_symmetry_Int_Tables_number 99
loop_
_symmetry_equiv_pos_as_xyz
'x,y,z'
'-y,x,z'
'-x,-y,z'
'y,-x,z'
'-x,y,z'
'y,x,z'
'x,-y,z'
'-y,-x,z'
loop_
_atom_site_label
_atom_site_fract_x
_atom_site_fract_y
_atom_site_fract_z
_atom_site_occupancy
In1 0.0000 0.0000 0.0000 1
P1 0.5000 0.5000 0.9131 1
Cl1 0.0000 0.0000 0.3005 1
Cl2 0.5000 0.5000 0.6534 1
```


Crystalline In2PCl at its relaxed geometry, computed with GGA-PBE.

Summary:
Its uncorrected formation energy is -278 meV per atom. For the uncorrected energy, the calculation gives -3.46 eV/atom. For the density of states at the Fermi level, the calculation gives 0.7 states/eV/f.u. The value obtained for the excess energy over the best structure of this formula in the dataset is 31 meV/atom. Its crystal system is tetragonal.

```
data_In2PCl
_cell_length_a 4.1592
_cell_length_b 4.1592
_cell_length_c 5.7768
_cell_angle_alpha 90.00
_cell_angle_beta 90.00
_cell_angle_gamma 90.00
_symmetry_space_group_name_H-M 'P 4/m m m'
_symmetry_Int_Tables_number 123
_symmetry_space_group_name_Hall '-P 4 2'
loop_
_atom_site_label
_atom_site_fract_x
_atom_site_fract_y
_atom_site_fract_z
_atom_site_occupancy
In1 0.0000 0.0000 0.0000 1
In2 0.5000 0.5000 0.5000 1
P1 0.0000 0.0000 0.5000 1
Cl1 0.5000 0.5000 0.0000 1
```


Crystalline In2PCl at its relaxed geometry, computed with GGA-PBE.

Summary:
Its uncorrected formation energy is -60 meV per atom. For the uncorrected energy, the calculation gives -3.24 eV/atom. For the density of states at the Fermi level, the calculation gives 2.8 states/eV/f.u. The value obtained for the excess energy over the best structure of this formula in the dataset is 249 meV/atom. Its crystal system is orthorhombic.

```
data_In2PCl
_cell_length_a 4.4003
_cell_length_b 5.9103
_cell_length_c 7.6129
_cell_angle_alpha 90.00
_cell_angle_beta 90.00
_cell_angle_gamma 90.00
_symmetry_space_group_name_H-M 'C m m m'
_symmetry_Int_Tables_number 65
_symmetry_space_group_name_Hall '-C 2 2'
loop_
_atom_site_label
_atom_site_fract_x
_atom_site_fract_y
_atom_site_fract_z
_atom_site_occupancy
In1 0.0000 0.0000 0.2168 1
P1 0.0000 0.5000 0.0000 1
Cl1 0.0000 0.5000 0.5000 1
```